Record 1
## Tb5Nd3Sm2 (PBE)

Data for a relaxed structure of Tb5Nd3Sm2.

The structure in POSCAR format:
```
Tb5Nd3Sm2
1.0
8.422 1.505 -3.889
0.241 8.514 -3.980
-1.663 -1.803 10.955
Sm Tb Nd
4 10 6
Direct
0.771 0.013 0.740 Sm
0.531 0.273 0.260 Sm
0.469 0.727 0.740 Sm
0.229 0.987 0.260 Sm
0.274 0.524 0.048 Tb
0.726 0.476 0.952 Tb
0.377 0.129 0.735 Tb
0.858 0.606 0.735 Tb
0.142 0.394 0.265 Tb
0.529 0.279 0.558 Tb
0.976 0.226 0.451 Tb
0.623 0.871 0.265 Tb
0.024 0.774 0.549 Tb
0.471 0.721 0.442 Tb
0.980 0.222 0.750 Nd
0.020 0.778 0.250 Nd
0.231 0.981 0.963 Nd
0.269 0.528 0.750 Nd
0.731 0.472 0.250 Nd
0.769 0.019 0.037 Nd
```

energy = -4.505 eV/atom
polymorph energy (0 for the lowest one) = 0 meV per atom
DOS(E_F) = 17.63 states/eV/f.u.
space group = C2/c (15)
size of the total moment = 0.00 μB/f.u.

=====

Record 2
## TmPaOs2 (PBE)

Data for a relaxed structure of TmPaOs2.

The structure in POSCAR format:
```
TmPaOs2
1.0
4.728 0.000 0.000
2.364 4.095 0.000
2.364 1.365 4.134
Os Tm Pa
2 1 1
Direct
0.762 0.762 0.715 Os
0.238 0.238 0.285 Os
0.000 0.000 0.000 Tm
0.500 0.500 0.500 Pa
```

energy = -9.385 eV/atom
polymorph energy (0 for the lowest one) = 41 meV per atom
DOS(E_F) = 2.08 states/eV/f.u.
space group = R-3m (166)
size of the total moment = 0.00 μB/f.u.

=====

Record 3
## Rb4BiBr (PBE)

Data for a relaxed structure of Rb4BiBr.

The structure in POSCAR format:
```
Rb4BiBr
1.0
-7.988 2.080 2.257
-0.578 -8.948 1.275
6.956 4.473 6.735
Rb Bi Br
8 2 2
Direct
0.009 0.751 0.049 Rb
0.540 0.298 0.049 Rb
0.240 0.364 0.424 Rb
0.460 0.702 0.951 Rb
0.760 0.636 0.576 Rb
0.991 0.249 0.951 Rb
0.316 0.940 0.576 Rb
0.684 0.060 0.424 Rb
0.381 0.631 0.261 Bi
0.619 0.369 0.739 Bi
0.830 0.080 0.160 Br
0.170 0.920 0.840 Br
```

energy = -2.342 eV/atom
DOS(E_F) = 3.50 states/eV/f.u.
ΔE_f (raw) = -4.6 eV per formula unit
space group = C2/c (15)
size of the total moment = 0.00 μB/f.u.

=====

Record 4
## KSr2Sm (PBE)

Data for a relaxed structure of KSr2Sm.

The structure in POSCAR format:
```
KSr2Sm
1.0
-3.851 0.593 -0.475
-2.386 -3.043 -0.672
-4.140 -2.443 14.292
Sr K Sm
2 1 1
Direct
0.081 0.081 0.757 Sr
0.919 0.919 0.243 Sr
0.500 0.500 0.500 K
0.000 0.000 0.000 Sm
```

energy = -1.940 eV/atom
polymorph energy (0 for the lowest one) = 186 meV per atom
DOS(E_F) = 5.49 states/eV/f.u.
space group = R-3m (166)
size of the total moment = 0.74 μB/f.u.

=====

Record 5
## DyP2IrRh2 (PBE)

Data for a relaxed structure of DyP2IrRh2.

The structure in POSCAR format:
```
DyP2IrRh2
1.0
-3.067 2.774 1.712
-1.145 -3.117 3.001
3.744 1.985 3.490
Ir P Rh Dy
1 2 2 1
Direct
0.000 0.000 0.000 Ir
0.500 0.000 0.000 P
0.000 0.500 0.000 P
0.500 0.500 0.252 Rh
0.500 0.500 0.748 Rh
0.000 0.000 0.500 Dy
```

energy = -6.744 eV/atom
DOS(E_F) = 2.18 states/eV/f.u.
space group = P4/mmm (123)
size of the total moment = 0.00 μB/f.u.

=====

Record 6
## KCrAs2 (PBE)

Data for a relaxed structure of KCrAs2.

The structure in POSCAR format:
```
KCrAs2
1.0
-0.799 -6.202 -4.707
2.040 -4.382 -6.156
2.303 -2.716 1.101
As K Cr
2 1 1
Direct
0.155 0.155 0.427 As
0.999 0.999 0.957 As
0.801 0.801 0.718 K
0.545 0.545 0.398 Cr
```

energy = -5.069 eV/atom
polymorph energy (0 for the lowest one) = 120 meV per atom
DOS(E_F) = 0.66 states/eV/f.u.
space group = Cm (8)
size of the total moment = 2.96 μB/f.u.

=====

Record 7
## Si2Pb2Au5 (PBE)

Data for a relaxed structure of Si2Pb2Au5.

The structure in POSCAR format:
```
Si2Pb2Au5
1.0
-2.890 -1.534 -2.826
5.030 2.225 -3.096
2.159 -7.246 1.158
Pb Au Si
2 5 2
Direct
0.537 0.094 0.296 Pb
0.463 0.906 0.704 Pb
0.112 0.303 0.549 Au
0.888 0.697 0.451 Au
0.313 0.499 0.224 Au
0.000 0.000 0.000 Au
0.687 0.501 0.776 Au
0.878 0.636 0.105 Si
0.122 0.364 0.895 Si
```

energy = -3.875 eV/atom
DOS(E_F) = 2.88 states/eV/f.u.
ΔE_f (raw) = -0.2 eV per formula unit
space group = P-1 (2)
size of the total moment = 0.00 μB/f.u.

=====

Record 8
## KInPdF6 (PBE)

Data for a relaxed structure of KInPdF6.

The structure in POSCAR format:
```
KInPdF6
1.0
-0.992 -3.954 -4.691
1.364 -5.486 0.246
-5.204 -1.487 1.726
Pd In K F
1 1 1 6
Direct
0.666 0.669 0.500 Pd
0.319 0.361 0.500 In
0.980 0.040 0.999 K
0.352 0.991 0.673 F
0.331 0.607 0.236 F
0.005 0.369 0.334 F
0.065 0.601 0.767 F
0.656 0.993 0.325 F
0.627 0.368 0.665 F
```

energy = -4.368 eV/atom
ΔE_f (raw) = -19.1 eV per formula unit
space group = P1 (1)
size of the total moment = 0.06 μB/f.u.

=====

Record 9
## LaPr2SmY (PBE)

Data for a relaxed structure of LaPr2SmY.

The structure in POSCAR format:
```
LaPr2SmY
1.0
6.699 0.000 0.000
0.000 8.415 1.124
0.000 -1.362 6.222
Y La Sm Pr
2 2 2 4
Direct
0.836 0.500 0.250 Y
0.164 0.500 0.750 Y
0.000 0.000 0.500 La
0.000 0.000 0.000 La
0.431 0.000 0.750 Sm
0.569 0.000 0.250 Sm
0.311 0.309 0.222 Pr
0.311 0.691 0.278 Pr
0.689 0.691 0.778 Pr
0.689 0.309 0.722 Pr
```

energy = -4.885 eV/atom
DOS(E_F) = 7.07 states/eV/f.u.
space group = P2/c (13)
size of the total moment = 0.00 μB/f.u.

=====

Record 10
## BeAg3 (PBE)

Data for a relaxed structure of BeAg3.

The structure in POSCAR format:
```
BeAg3
1.0
-1.989 1.989 8.003
1.989 -1.989 8.003
1.989 1.989 -8.003
Ag Be
6 2
Direct
0.750 0.250 0.500 Ag
0.124 0.124 0.000 Ag
0.250 0.750 0.500 Ag
0.000 0.500 0.500 Ag
0.500 0.000 0.500 Ag
0.876 0.876 0.000 Ag
0.631 0.631 0.000 Be
0.369 0.369 0.000 Be
```

energy = -2.844 eV/atom
DOS(E_F) = 1.36 states/eV/f.u.
space group = I4/mmm (139)
size of the total moment = 0.00 μB/f.u.

=====

Record 11
## Sc2MnBW (PBE)

Data for a relaxed structure of Sc2MnBW.

The structure in POSCAR format:
```
Sc2MnBW
1.0
-2.776 3.922 -1.625
-1.657 -2.528 -3.271
-3.803 -1.434 3.035
Sc W B Mn
2 1 1 1
Direct
0.500 0.000 0.000 Sc
0.000 0.000 0.500 Sc
0.000 0.000 0.000 W
0.500 0.500 0.500 B
0.000 0.500 0.000 Mn
```

energy = -6.724 eV/atom
DOS(E_F) = 4.10 states/eV/f.u.
space group = P4/mmm (123)
size of the total moment = 2.40 μB/f.u.

=====

Record 12
## MnBe3Ag (PBE)

Data for a relaxed structure of MnBe3Ag.

The structure in POSCAR format:
```
MnBe3Ag
1.0
4.053 0.000 0.000
0.000 4.053 0.000
0.000 0.000 4.053
Be Ag Mn
3 1 1
Direct
0.500 0.000 0.000 Be
0.000 0.000 0.500 Be
0.000 0.500 0.000 Be
0.500 0.500 0.500 Ag
0.000 0.000 0.000 Mn
```

energy = -3.682 eV/atom
polymorph energy (0 for the lowest one) = 0 meV per atom
DOS(E_F) = 2.53 states/eV/f.u.
space group = Pm-3m (221)
size of the total moment = 1.75 μB/f.u.